{
  "formula": "Mn2VTcH",
  "functional": "PBE",
  "state": "relaxed",
  "cell": [[3.640, 0.000, 0.000], [0.000, 3.640, 0.000], [0.000, 0.000, 4.050]],
  "species": ["H", "Mn", "Mn", "Tc", "V"],
  "frac_coords": [[0.000, 0.000, 0.000], [0.000, 0.500, 0.000], [0.500, 0.000, 0.000], [0.000, 0.000, 0.500], [0.500, 0.500, 0.500]],
  "e_above_lowest_polymorph_mev_per_atom": 0,
  "dos_ef_per_ev_fu": 3.6,
  "space_group": "P4/mmm, No. 123",
  "energy_ev_per_atom": -8.2254
}